(1)
A relaxed Dy2Y8Th3 crystal, computed with GGA-PBE.

The space group is C2/m (No. 12) and the conventional cell measures 19.9506, 7.8905 and 5.6057 Å, with angles of 90.00, 90.08 and 90.00 degrees. The inequivalent atoms are Dy at (0.2386, 0.0000, 0.4980), Y at (0.1067, 0.2957, 0.5005), Y at (0.1286, 0.0000, 0.9991), Y at (0.1720, 0.5000, 0.0015), Th at (0.0000, 0.0000, 0.5000) and Th at (0.0000, 0.2971, 0.0000).

Its relative energy among the computed polymorphs is 11.5 kJ/mol of atoms. For the total DFT energy (no corrections), the calculation gives -0.4498 Ry/atom. As for the theoretical density: 6.52 g/cm3. For the density of states at the Fermi level, the calculation gives 46.55 states/eV/cell. The value obtained for the calculated formation energy is 0.278 eV/atom.

=====

(2)
A relaxed Ta2ReHIr crystal, computed with GGA-PBE.

The space group is P4/mmm (No. 123) and the conventional cell measures 4.2510, 4.2510 and 3.7475 Å, with angles of 90.00, 90.00 and 90.00 degrees. The inequivalent atoms are Ta at (0.0000, 0.5000, 0.0000), Re at (0.0000, 0.0000, 0.5000), H at (0.0000, 0.0000, 0.0000) and Ir at (0.5000, 0.5000, 0.5000).

Its relative energy among the computed polymorphs is 0.0 kJ/mol of atoms. For the total DFT energy (no corrections), the calculation gives -0.7268 Ry/atom. As for the theoretical density: 18.18 g/cm3. For the density of states at the Fermi level, the calculation gives 3.92 states/eV/cell.

=====

(3)
A relaxed KTlRe2O8 crystal, computed with GGA-PBE.

The space group is P-3m1 (No. 164) and the conventional cell measures 6.3118, 6.3118 and 8.3283 Å, with angles of 90.00, 90.00 and 120.00 degrees. The inequivalent atoms are K at (0.0000, 0.0000, 0.0000), Tl at (0.0000, 0.0000, 0.5000), Re at (0.3333, 0.6667, 0.8161), O at (0.1811, 0.3622, 0.7478) and O at (0.3333, 0.6667, 0.0259).

For the total DFT energy (no corrections), the calculation gives -0.5407 Ry/atom. The calculation puts the energy relative to the elements, uncorrected at -1687.3 meV per atom. As for the theoretical density: 4.30 g/cm3. For the density of states at the Fermi level, the calculation gives 0.00 states/eV/cell.

=====

(4)
A relaxed NbAgAu2 crystal, computed with GGA-PBE.

The space group is R3m (No. 160, hexagonal axes) and the conventional cell measures 2.9590, 2.9590 and 28.5278 Å, with angles of 90.00, 90.00 and 120.00 degrees. The inequivalent atoms are Nb at (0.0000, 0.0000, 0.0000), Ag at (0.0000, 0.0000, 0.8331), Au at (0.0000, 0.0000, 0.2516) and Au at (0.0000, 0.0000, 0.4150).

For the total DFT energy (no corrections), the calculation gives -0.3592 Ry/atom. As for the theoretical density: 13.70 g/cm3. For the density of states at the Fermi level, the calculation gives 5.70 states/eV/cell. The value obtained for the calculated formation energy is -0.018 eV/atom.